PmNd2Hg8: relaxed, PBE-GGA.

a b c (Å): 5.0924 7.3359 8.4900
angles (deg): 109.23 107.45 90.00
Last column: nearest neighbours and their distance in Å.
Positions (direct):
1 Pm 0.5000 0.0000 0.0000  12 Hg 3.10-3.46
2 Nd 0.7908 0.3470 0.5815  10 Hg 3.20-3.55
3 Nd 0.2092 0.6530 0.4185  10 Hg 3.20-3.55
4 Hg 0.4063 0.5450 0.8127  4 Hg 3.05-3.32, 1 Pm 3.15, 2 Nd 3.20
5 Hg 0.6706 0.8974 0.3412  4 Hg 3.05-3.31, 1 Pm 3.10, 3 Nd 3.20-3.30
6 Hg 0.8484 0.8309 0.6969  5 Hg 3.08-3.31, 3 Nd 3.34-3.35
7 Hg 0.9793 0.2723 0.9585  7 Hg 3.13-3.44, 1 Nd 3.28, 2 Pm 3.32
8 Hg 0.1516 0.1691 0.3031  5 Hg 3.08-3.31, 3 Nd 3.34-3.35
9 Hg 0.3294 0.1026 0.6588  4 Hg 3.05-3.31, 1 Pm 3.10, 3 Nd 3.20-3.30
10 Hg 0.5937 0.4550 0.1873  4 Hg 3.05-3.32, 1 Pm 3.15, 2 Nd 3.20
11 Hg 0.0207 0.7277 0.0415  7 Hg 3.13-3.44, 1 Nd 3.28, 2 Pm 3.32

Output
Space-group type: C2/m (12)
ΔE_f (eV/atom): -0.3574
Excess energy over the best structure of this formula in the dataset (kJ/mol of formula units): 0.0
Total magnetic moment (μB per formula unit): 0.00